DFT (PBE-GGA) results for a relaxed Zn2TeRuO crystal.

a b c (Å): 5.1909 5.1909 3.9766
angles (deg): 90.00 90.00 90.00
Last column: nearest neighbours and their distance in Å.
Atoms (fractional coordinates):
Zn 0.0000 0.5000 0.0000  2 Te 2.60
Zn 0.5000 0.0000 0.0000  2 Te 2.60
Te 0.0000 0.0000 0.0000  2 O 1.99
Ru 0.5000 0.5000 0.5000  8 Zn 3.27
O 0.0000 0.0000 0.5000  2 Te 1.99

The calculation puts the volume at 21.4 Å³ per atom. As for the formation energy without anion corrections: 904 meV/atom. The value obtained for the density of states at the Fermi level is 5.256 states/eV/f.u. The calculation puts the electronic total energy at -0.1132 Ha/atom.

=====

DFT (PBE-GGA) results for a relaxed ZnTeRuO6 crystal.

a b c (Å): 4.6744 4.6744 9.4215
angles (deg): 90.00 90.00 90.00
Last column: nearest neighbours and their distance in Å.
Atoms (fractional coordinates):
Zn 0.0000 0.0000 0.0000  6 O 2.06-2.10
Zn 0.5000 0.5000 0.5000  6 O 2.06-2.10
Te 0.0000 0.0000 0.3324  6 O 1.99-2.03
Te 0.5000 0.5000 0.8324  6 O 1.99-2.03
Ru 0.0000 0.0000 0.6653  6 O 1.97-2.04
Ru 0.5000 0.5000 0.1653  6 O 1.97-2.04
O 0.1881 0.1881 0.5029  1 Ru 1.97, 1 Te 2.03, 1 Zn 2.06
O 0.1979 0.1979 0.1738  1 Te 1.99, 1 Ru 2.00, 1 Zn 2.10
O 0.1991 0.1991 0.8311  1 Te 1.99, 1 Ru 2.04, 1 Zn 2.07
O 0.3009 0.6991 0.3311  1 Te 1.99, 1 Ru 2.04, 1 Zn 2.07
O 0.3021 0.6979 0.6738  1 Te 1.99, 1 Ru 2.00, 1 Zn 2.10
O 0.3119 0.6881 0.0029  1 Ru 1.97, 1 Te 2.03, 1 Zn 2.06
O 0.6881 0.3119 0.0029  1 Ru 1.97, 1 Te 2.03, 1 Zn 2.06
O 0.6979 0.3021 0.6738  1 Te 1.99, 1 Ru 2.00, 1 Zn 2.10
O 0.6991 0.3009 0.3311  1 Te 1.99, 1 Ru 2.04, 1 Zn 2.07
O 0.8009 0.8009 0.8311  1 Te 1.99, 1 Ru 2.04, 1 Zn 2.07
O 0.8021 0.8021 0.1738  1 Te 1.99, 1 Ru 2.00, 1 Zn 2.10
O 0.8119 0.8119 0.5029  1 Ru 1.97, 1 Te 2.03, 1 Zn 2.06

The calculation puts the volume at 11.4 Å³ per atom. As for the formation energy without anion corrections: -1032 meV/atom. The value obtained for the density of states at the Fermi level is 0.575 states/eV/f.u. The calculation puts the electronic total energy at -0.2153 Ha/atom.

=====

DFT (PBE-GGA) results for a relaxed ZnTeRuO2 crystal.

a b c (Å): 3.8371 3.8371 5.7600
angles (deg): 90.00 90.00 90.00
Last column: nearest neighbours and their distance in Å.
Atoms (fractional coordinates):
Zn 0.0000 0.0000 0.0000  4 Te 2.71
Te 0.5000 0.5000 0.0000  4 Zn 2.71, 2 Ru 2.88
Ru 0.5000 0.5000 0.5000  4 O 1.92
O 0.0000 0.5000 0.5000  2 Ru 1.92
O 0.5000 0.0000 0.5000  2 Ru 1.92

The calculation puts the volume at 17.0 Å³ per atom. As for the formation energy without anion corrections: -432 meV/atom. The value obtained for the density of states at the Fermi level is 4.764 states/eV/f.u. The calculation puts the electronic total energy at -0.1894 Ha/atom.

=====

DFT (PBE-GGA) results for a relaxed ZrTe2RuO crystal.

a b c (Å): 5.0210 5.0210 4.0196
angles (deg): 90.00 90.00 90.00
Last column: nearest neighbours and their distance in Å.
Atoms (fractional coordinates):
Zr 0.0000 0.0000 0.0000  2 O 2.01
Te 0.0000 0.5000 0.5000  2 O 2.51
Te 0.5000 0.0000 0.5000  2 O 2.51
Ru 0.5000 0.5000 0.0000  8 Te 3.22, 4 Zr 3.55
O 0.0000 0.0000 0.5000  2 Zr 2.01

The calculation puts the volume at 20.3 Å³ per atom. As for the formation energy without anion corrections: -91 meV/atom. The value obtained for the density of states at the Fermi level is 4.786 states/eV/f.u. The calculation puts the electronic total energy at -0.2170 Ha/atom.